Compound: BaSi3Ir
Source: Alexandria via LeMat-Bulk
Functional: meta-GGA SCAN
Structure: PBEsol geometry

Its formation energy without anion corrections is 0.16 eV/atom. Its uncorrected energy is -27.976 eV per atom. The density of states at the Fermi level comes out at 4.44 states/eV/cell.

The space group is Pm-3m (No. 221) and the conventional cell measures 4.784, 4.784 and 4.784 Å, with angles of 90.00, 90.00 and 90.00 degrees. The inequivalent atoms are Ba at (0.000, 0.000, 0.000), Si at (0.000, 0.500, 0.500) and Ir at (0.500, 0.500, 0.500).